GaSeS2: relaxed, GGA-PBE.

Results
- Crystal system: trigonal
- SG: R-3m (166)
- Formation energy without anion corrections: -17.0 kJ per mole of atoms

abc: 3.578 3.578 22.690
angles: 90.00 90.00 120.00
Fractional positions:
Ga  0.000  0.000  0.000
Ga  0.333  0.667  0.667
Ga  0.667  0.333  0.333
Se  0.000  0.000  0.500
Se  0.333  0.667  0.167
Se  0.667  0.333  0.833
S  0.000  0.000  0.393
S  0.000  0.000  0.607
S  0.333  0.667  0.059
S  0.333  0.667  0.274
S  0.667  0.333  0.726
S  0.667  0.333  0.941

Pa2CdBi8: relaxed, GGA-PBE.

Results
- DFT formation energy: -0.0497 eV/atom
- Crystal system: tetragonal
- SG: P4/mmm (123)

abc: 4.691 4.691 15.550
angles: 90.00 90.00 90.00
Fractional positions:
Pa  0.000  0.000  0.169
Pa  0.000  0.000  0.831
Cd  0.000  0.000  0.500
Bi  0.000  0.500  0.000
Bi  0.000  0.500  0.340
Bi  0.000  0.500  0.660
Bi  0.500  0.000  0.000
Bi  0.500  0.000  0.340
Bi  0.500  0.000  0.660
Bi  0.500  0.500  0.171
Bi  0.500  0.500  0.829

DyInBi: relaxed, GGA-PBE.

Results
- DFT formation energy: -0.3121 eV/atom
- Crystal system: tetragonal
- SG: I4mm (107)

abc: 4.137 4.137 10.140
angles: 90.00 90.00 90.00
Fractional positions:
Dy  0.000  0.000  0.000
Dy  0.500  0.500  0.500
In  0.000  0.000  0.668
In  0.500  0.500  0.168
Bi  0.000  0.000  0.348
Bi  0.500  0.500  0.848

| no. | final energy (eV for the cell shown) | total moment (μB per atom) | theoretical density (Mg/m³) |
| --- | --- | --- | --- |
| 1 | -46.407 | 0.000 | 4.2 |
| 2 | -51.502 | 0.000 | 10.9 |
| 3 | -24.316 | 0.000 | 9.3 |